Record 1
Entry from Alexandria via LeMat-Bulk: crystalline LaSmWN4 at its relaxed geometry (PBE).

Values from the calculation:
Space group: No. 107
Electronic total energy in eV/atom: -9.0826

Geometry as CIF:
```
data_LaSmWN4
_chemical_formula_sum 'La2 Sm2 W2 N8'
_cell_length_a 3.976
_cell_length_b 3.976
_cell_length_c 12.574
_cell_angle_alpha 90.00
_cell_angle_beta 90.00
_cell_angle_gamma 90.00
_symmetry_space_group_name_H-M 'P 1'
_symmetry_Int_Tables_number 1
loop_
_symmetry_equiv_pos_as_xyz
'x,y,z'
loop_
_atom_site_label
_atom_site_type_symbol
_atom_site_fract_x
_atom_site_fract_y
_atom_site_fract_z
La1 La 0.000 0.000 0.000
La2 La 0.500 0.500 0.500
Sm1 Sm 0.000 0.000 0.709
Sm2 Sm 0.500 0.500 0.209
W1 W 0.000 0.000 0.352
W2 W 0.500 0.500 0.852
N1 N 0.000 0.000 0.189
N2 N 0.000 0.000 0.521
N3 N 0.000 0.500 0.352
N4 N 0.000 0.500 0.852
N5 N 0.500 0.000 0.352
N6 N 0.500 0.000 0.852
N7 N 0.500 0.500 0.021
N8 N 0.500 0.500 0.689
```

***

Record 2
Entry from Alexandria via LeMat-Bulk: crystalline CuTeS2I at its relaxed geometry (PBE).

Values from the calculation:
Space group: No. 11
Electronic total energy in eV/atom: -3.4006

Geometry as CIF:
```
data_CuTeS2I
_chemical_formula_sum 'Cu2 Te2 S4 I2'
_cell_length_a 7.982
_cell_length_b 4.659
_cell_length_c 8.046
_cell_angle_alpha 90.00
_cell_angle_beta 111.57
_cell_angle_gamma 90.00
_symmetry_space_group_name_H-M 'P 1'
_symmetry_Int_Tables_number 1
loop_
_symmetry_equiv_pos_as_xyz
'x,y,z'
loop_
_atom_site_label
_atom_site_type_symbol
_atom_site_fract_x
_atom_site_fract_y
_atom_site_fract_z
Cu1 Cu 0.024 0.250 0.172
Cu2 Cu 0.976 0.750 0.828
Te1 Te 0.406 0.750 0.271
Te2 Te 0.594 0.250 0.729
S1 S 0.068 0.750 0.151
S2 S 0.320 0.250 0.366
S3 S 0.680 0.750 0.634
S4 S 0.932 0.250 0.849
I1 I 0.278 0.750 0.760
I2 I 0.722 0.250 0.240
```

***

Record 3
Entry from Alexandria via LeMat-Bulk: crystalline InFe2Se at its relaxed geometry (PBE).

Values from the calculation:
Space group: No. 216
Electronic total energy in eV/atom: -5.2849

Geometry as CIF:
```
data_InFe2Se
_chemical_formula_sum 'In4 Fe8 Se4'
_cell_length_a 6.443
_cell_length_b 6.443
_cell_length_c 6.443
_cell_angle_alpha 90.00
_cell_angle_beta 90.00
_cell_angle_gamma 90.00
_symmetry_space_group_name_H-M 'P 1'
_symmetry_Int_Tables_number 1
loop_
_symmetry_equiv_pos_as_xyz
'x,y,z'
loop_
_atom_site_label
_atom_site_type_symbol
_atom_site_fract_x
_atom_site_fract_y
_atom_site_fract_z
In1 In 0.000 0.000 0.000
In2 In 0.000 0.500 0.500
In3 In 0.500 0.000 0.500
In4 In 0.500 0.500 0.000
Fe1 Fe 0.000 0.000 0.500
Fe2 Fe 0.000 0.500 0.000
Fe3 Fe 0.250 0.250 0.250
Fe4 Fe 0.250 0.750 0.750
Fe5 Fe 0.500 0.000 0.000
Fe6 Fe 0.500 0.500 0.500
Fe7 Fe 0.750 0.250 0.750
Fe8 Fe 0.750 0.750 0.250
Se1 Se 0.250 0.250 0.750
Se2 Se 0.250 0.750 0.250
Se3 Se 0.750 0.250 0.250
Se4 Se 0.750 0.750 0.750
```

***

Record 4
Entry from Alexandria via LeMat-Bulk: crystalline Au2SeCl at its relaxed geometry (PBE).

Values from the calculation:
Space group: No. 71
Electronic total energy in eV/atom: -2.8045

Geometry as CIF:
```
data_Au2SeCl
_chemical_formula_sum 'Au4 Se2 Cl2'
_cell_length_a 3.618
_cell_length_b 7.513
_cell_length_c 7.572
_cell_angle_alpha 90.00
_cell_angle_beta 90.00
_cell_angle_gamma 90.00
_symmetry_space_group_name_H-M 'P 1'
_symmetry_Int_Tables_number 1
loop_
_symmetry_equiv_pos_as_xyz
'x,y,z'
loop_
_atom_site_label
_atom_site_type_symbol
_atom_site_fract_x
_atom_site_fract_y
_atom_site_fract_z
Au1 Au 0.000 0.244 0.000
Au2 Au 0.000 0.756 0.000
Au3 Au 0.500 0.256 0.500
Au4 Au 0.500 0.744 0.500
Se1 Se 0.000 0.500 0.500
Se2 Se 0.500 0.000 0.000
Cl1 Cl 0.000 0.000 0.500
Cl2 Cl 0.500 0.500 0.000
```

***

Record 5
Entry from Alexandria via LeMat-Bulk: crystalline Ag2Sn3 at its relaxed geometry (PBE).

Values from the calculation:
Energy relative to the elements in meV per atom: 142
Space group: No. 167
Electronic total energy in eV/atom: -3.4002

Geometry as CIF:
```
data_Ag2Sn3
_chemical_formula_sum 'Ag4 Sn6'
_cell_length_a 7.180
_cell_length_b 7.180
_cell_length_c 7.180
_cell_angle_alpha 59.83
_cell_angle_beta 59.83
_cell_angle_gamma 59.83
_symmetry_space_group_name_H-M 'P 1'
_symmetry_Int_Tables_number 1
loop_
_symmetry_equiv_pos_as_xyz
'x,y,z'
loop_
_atom_site_label
_atom_site_type_symbol
_atom_site_fract_x
_atom_site_fract_y
_atom_site_fract_z
Ag1 Ag 0.171 0.171 0.171
Ag2 Ag 0.329 0.329 0.329
Ag3 Ag 0.671 0.671 0.671
Ag4 Ag 0.829 0.829 0.829
Sn1 Sn 0.109 0.750 0.391
Sn2 Sn 0.250 0.609 0.891
Sn3 Sn 0.391 0.109 0.750
Sn4 Sn 0.609 0.891 0.250
Sn5 Sn 0.750 0.391 0.109
Sn6 Sn 0.891 0.250 0.609
```

***

Record 6
Entry from Alexandria via LeMat-Bulk: crystalline NdSc at its relaxed geometry (PBE).

Values from the calculation:
Energy relative to the elements in meV per atom: 72
Space group: No. 221
Electronic total energy in eV/atom: -5.4778

Geometry as CIF:
```
data_NdSc
_chemical_formula_sum 'Nd1 Sc1'
_cell_length_a 3.894
_cell_length_b 3.894
_cell_length_c 3.894
_cell_angle_alpha 90.00
_cell_angle_beta 90.00
_cell_angle_gamma 90.00
_symmetry_space_group_name_H-M 'P 1'
_symmetry_Int_Tables_number 1
loop_
_symmetry_equiv_pos_as_xyz
'x,y,z'
loop_
_atom_site_label
_atom_site_type_symbol
_atom_site_fract_x
_atom_site_fract_y
_atom_site_fract_z
Nd1 Nd 0.000 0.000 0.000
Sc1 Sc 0.500 0.500 0.500
```

***

Record 7
Entry from Alexandria via LeMat-Bulk: crystalline CuReOs2 at its relaxed geometry (PBE).

Values from the calculation:
Energy relative to the elements in meV per atom: 942
Space group: No. 122
Electronic total energy in eV/atom: -8.8093

Geometry as CIF:
```
data_CuReOs2
_chemical_formula_sum 'Cu4 Re4 Os8'
_cell_length_a 7.234
_cell_length_b 7.234
_cell_length_c 5.100
_cell_angle_alpha 90.00
_cell_angle_beta 90.00
_cell_angle_gamma 90.00
_symmetry_space_group_name_H-M 'P 1'
_symmetry_Int_Tables_number 1
loop_
_symmetry_equiv_pos_as_xyz
'x,y,z'
loop_
_atom_site_label
_atom_site_type_symbol
_atom_site_fract_x
_atom_site_fract_y
_atom_site_fract_z
Cu1 Cu 0.000 0.000 0.000
Cu2 Cu 0.000 0.500 0.250
Cu3 Cu 0.500 0.000 0.750
Cu4 Cu 0.500 0.500 0.500
Re1 Re 0.000 0.000 0.500
Re2 Re 0.000 0.500 0.750
Re3 Re 0.500 0.000 0.250
Re4 Re 0.500 0.500 0.000
Os1 Os 0.203 0.250 0.625
Os2 Os 0.250 0.703 0.875
Os3 Os 0.250 0.797 0.375
Os4 Os 0.297 0.250 0.125
Os5 Os 0.703 0.750 0.125
Os6 Os 0.750 0.203 0.375
Os7 Os 0.750 0.297 0.875
Os8 Os 0.797 0.750 0.625
```

***

Record 8
Entry from Alexandria via LeMat-Bulk: crystalline V5InRu6 at its relaxed geometry (PBE).

Values from the calculation:
Energy relative to the elements in meV per atom: -196
Space group: No. 71
Electronic total energy in eV/atom: -8.8611

Geometry as CIF:
```
data_V5InRu6
_chemical_formula_sum 'V5 In1 Ru6'
_cell_length_a 7.461
_cell_length_b 7.461
_cell_length_c 7.461
_cell_angle_alpha 146.55
_cell_angle_beta 131.38
_cell_angle_gamma 60.31
_symmetry_space_group_name_H-M 'P 1'
_symmetry_Int_Tables_number 1
loop_
_symmetry_equiv_pos_as_xyz
'x,y,z'
loop_
_atom_site_label
_atom_site_type_symbol
_atom_site_fract_x
_atom_site_fract_y
_atom_site_fract_z
V1 V 0.000 0.000 0.000
V2 V 0.168 0.668 0.500
V3 V 0.332 0.332 0.000
V4 V 0.668 0.668 0.000
V5 V 0.832 0.332 0.500
In1 In 0.500 0.000 0.500
Ru1 Ru 0.071 0.829 0.242
Ru2 Ru 0.235 0.500 0.735
Ru3 Ru 0.413 0.171 0.242
Ru4 Ru 0.587 0.829 0.758
Ru5 Ru 0.765 0.500 0.265
Ru6 Ru 0.929 0.171 0.758
```

***

Number 1: total magnetic moment 0.00 μB per formula unit. Number 2: total magnetic moment 0.00 μB per formula unit. Number 3: total magnetic moment 5.01 μB per formula unit. Number 4: total magnetic moment 0.00 μB per formula unit. Number 5: total magnetic moment 0.00 μB per formula unit. Number 6: total magnetic moment 0.00 μB per formula unit. Number 7: total magnetic moment 0.00 μB per formula unit. Number 8: total magnetic moment 2.52 μB per formula unit.